# TbYEr2Sc4

A relaxed TbYEr2Sc4 crystal (PBE, Alexandria via LeMat-Bulk).

- raw total energy (eV/atom) = -5.64
- energy relative to the elements (meV/atom) = 55
- N(E_F) (states/eV/cell) = 14.3

Cell: 4.8702 4.8702 9.3603 Å, 90.00 90.00 90.00°
Space group P4/mmm (No. 123)
Asymmetric unit:
Tb (0.0000, 0.0000, 0.0000) (multiplicity 1)
Y (0.5000, 0.5000, 0.5000) (multiplicity 1)
Er (0.0000, 0.0000, 0.5000) (multiplicity 1)
Er (0.5000, 0.5000, 0.0000) (multiplicity 1)
Sc (0.0000, 0.5000, 0.2489) (multiplicity 4)

=====

# In2TcW

A relaxed In2TcW crystal (PBE, Alexandria via LeMat-Bulk).

- ΔE to the lowest computed polymorph (meV/atom) = 442
- raw total energy (eV/atom) = -6.59
- energy relative to the elements (meV/atom) = 610
- N(E_F) (states/eV/cell) = 4.1

Cell: 2.9246 4.6101 5.4659 Å, 90.00 99.79 90.00°
Space group P2/m (No. 10)
Asymmetric unit:
In (0.2254, 0.0000, 0.2533) (multiplicity 2)
Tc (0.0000, 0.5000, 0.5000) (multiplicity 1)
W (0.5000, 0.5000, 0.0000) (multiplicity 1)

=====

# MgPt2W

A relaxed MgPt2W crystal (PBE, Alexandria via LeMat-Bulk).

- raw total energy (eV/atom) = -6.80
- energy relative to the elements (meV/atom) = -141
- N(E_F) (states/eV/cell) = 6.8

Cell: 8.9955 2.7881 5.1983 Å, 90.00 97.73 90.00°
Space group C2/m (No. 12)
Asymmetric unit:
Mg (0.0000, 0.0000, 0.0000) (multiplicity 2)
Pt (0.2491, 0.0000, 0.7398) (multiplicity 4)
W (0.0000, 0.5000, 0.5000) (multiplicity 2)

=====

# LaZnHg3

A relaxed LaZnHg3 crystal (PBE, Alexandria via LeMat-Bulk).

- ΔE to the lowest computed polymorph (meV/atom) = 175
- raw total energy (eV/atom) = -1.51
- energy relative to the elements (meV/atom) = -92
- N(E_F) (states/eV/cell) = 4.7

Cell: 5.1183 5.1183 5.1183 Å, 90.00 90.00 90.00°
Space group Pm-3m (No. 221)
Asymmetric unit:
La (0.0000, 0.0000, 0.0000) (multiplicity 1)
Zn (0.5000, 0.5000, 0.5000) (multiplicity 1)
Hg (0.0000, 0.5000, 0.5000) (multiplicity 3)

=====

# HfMgTaPt2

A relaxed HfMgTaPt2 crystal (PBE, Alexandria via LeMat-Bulk).

- raw total energy (eV/atom) = -6.41
- energy relative to the elements (meV/atom) = 684
- N(E_F) (states/eV/cell) = 4.5

Cell: 4.9353 4.9353 4.9872 Å, 90.00 90.00 90.00°
Space group P4/mmm (No. 123)
Asymmetric unit:
Hf (0.0000, 0.0000, 0.0000) (multiplicity 1)
Mg (0.5000, 0.5000, 0.0000) (multiplicity 1)
Ta (0.0000, 0.0000, 0.5000) (multiplicity 1)
Pt (0.0000, 0.5000, 0.5000) (multiplicity 2)

=====

# IrOsCl2

A relaxed IrOsCl2 crystal (PBE, Alexandria via LeMat-Bulk).

- ΔE to the lowest computed polymorph (meV/atom) = 1479
- raw total energy (eV/atom) = -4.34
- raw formation energy (eV per atom) = 1.609
- N(E_F) (states/eV/cell) = 9.7

Cell: 5.7353 7.5444 2.8699 Å, 90.00 90.00 90.00°
Space group Cmmm (No. 65)
Asymmetric unit:
Ir (0.0000, 0.0000, 0.0000) (multiplicity 2)
Os (0.0000, 0.5000, 0.0000) (multiplicity 2)
Cl (0.2500, 0.2500, 0.5000) (multiplicity 4)